## YTc2As2 (PBE)

Data for a geometry-optimized YTc2As2 structure.

Summary:
ΔE to the lowest computed polymorph	163	meV per atom
calculated volume	18.870	A^3/atom
ΔE_f	-0.400	eV/atom
magnetization	0.000	μB per formula unit

Cell lengths 4.5822, 4.5822, 5.5401 Å; angles 65.57, 65.57, 90.00 degrees
Element x y z (fractional)
1 Y 0.0000 0.0000 0.0000
2 As 0.7500 0.2500 0.5000
3 As 0.2500 0.7500 0.5000
4 Tc 0.3726 0.3726 0.2549
5 Tc 0.6274 0.6274 0.7451



## CaHRu (PBE)

Data for a geometry-optimized CaHRu structure.

Summary:
ΔE to the lowest computed polymorph	38	meV per atom
calculated volume	17.567	A^3/atom
magnetization	0.000	μB per formula unit

Cell lengths 4.3014, 4.5993, 10.6639 Å; angles 90.00, 92.23, 90.00 degrees
Element x y z (fractional)
1 Ca 0.4353 0.0000 0.8040
2 Ca 0.4353 0.5000 0.3040
3 Ca 0.9365 0.0000 0.0812
4 Ca 0.9365 0.5000 0.5812
5 H 0.7206 0.0000 0.2615
6 H 0.7206 0.5000 0.7615
7 H 0.0174 0.0000 0.5742
8 H 0.0174 0.5000 0.0742
9 Ru 0.8954 0.0000 0.4057
10 Ru 0.8954 0.5000 0.9057
11 Ru 0.4145 0.0000 0.5009
12 Ru 0.4145 0.5000 0.0009



## AlAgIO2 (PBE)

Data for a geometry-optimized AlAgIO2 structure.

Summary:
ΔE to the lowest computed polymorph	1366	meV per atom
calculated volume	19.672	A^3/atom
E_form (uncorrected)	0.48	eV/atom
magnetization	0.000	μB per formula unit

Cell lengths 4.1689, 4.1689, 5.6593 Å; angles 90.00, 90.00, 90.00 degrees
Element x y z (fractional)
1 I 0.0000 0.0000 0.5000
2 O 0.0000 0.5000 0.0000
3 O 0.5000 0.0000 0.0000
4 Al 0.5000 0.5000 0.5000
5 Ag 0.0000 0.0000 0.0000



## PaCoB (PBE)

Data for a geometry-optimized PaCoB structure.

Summary:
ΔE to the lowest computed polymorph	679	meV per atom
calculated volume	16.025	A^3/atom
ΔE_f	0.257	eV/atom
magnetization	0.000	μB per formula unit

Cell lengths 3.6250, 3.6250, 4.4670 Å; angles 113.94, 113.94, 90.00 degrees
Element x y z (fractional)
1 B 0.9776 0.9776 0.9553
2 Pa 0.6303 0.6303 0.2606
3 Co 0.2420 0.2420 0.4841



## CoBS (PBE)

Data for a geometry-optimized CoBS structure.

Summary:
calculated volume	16.000	A^3/atom
E_form (uncorrected)	0.36	eV/atom
magnetization	1.137	μB per formula unit

Cell lengths 3.0192, 3.5045, 9.2411 Å; angles 79.07, 90.00, 90.00 degrees
Element x y z (fractional)
1 S 0.7500 0.6564 0.6872
2 S 0.2500 0.3436 0.3128
3 Co 0.2500 0.0427 0.9147
4 Co 0.7500 0.9573 0.0853
5 B 0.2500 0.5977 0.8047
6 B 0.7500 0.4023 0.1953



## BaCd8Ag4 (PBE)

Data for a geometry-optimized BaCd8Ag4 structure.

Summary:
calculated volume	22.748	A^3/atom
ΔE_f	-0.140	eV/atom
magnetization	0.000	μB per formula unit

Cell lengths 5.6264, 7.7766, 7.7766 Å; angles 82.48, 68.79, 68.79 degrees
Element x y z (fractional)
1 Ba 0.0000 0.0000 0.0000
2 Cd 0.0000 0.3528 0.6472
3 Cd 0.0000 0.6472 0.3528
4 Cd 0.3528 0.6472 0.6472
5 Cd 0.6472 0.3528 0.3528
6 Cd 0.5000 0.7776 0.2224
7 Cd 0.5000 0.2224 0.7776
8 Cd 0.2776 0.2224 0.2224
9 Cd 0.7224 0.7776 0.7776
10 Ag 0.0000 0.0000 0.5000
11 Ag 0.5000 0.0000 0.5000
12 Ag 0.0000 0.5000 0.0000
13 Ag 0.5000 0.5000 0.0000



## LiAc2Au7 (PBE)

Data for a geometry-optimized LiAc2Au7 structure.

Summary:
calculated volume	23.324	A^3/atom
ΔE_f	-0.590	eV/atom
magnetization	0.000	μB per formula unit

Cell lengths 4.2216, 4.2216, 13.0870 Å; angles 90.00, 90.00, 90.00 degrees
Element x y z (fractional)
1 Li 0.5000 0.5000 0.0000
2 Ac 0.5000 0.0000 0.7459
3 Ac 0.0000 0.5000 0.2541
4 Au 0.0000 0.5000 0.8594
5 Au 0.5000 0.0000 0.3541
6 Au 0.5000 0.0000 0.1406
7 Au 0.0000 0.5000 0.6459
8 Au 0.0000 0.0000 0.5000
9 Au 0.0000 0.0000 0.0000
10 Au 0.5000 0.5000 0.5000



## LaAsRu2 (PBE)

Data for a geometry-optimized LaAsRu2 structure.

Summary:
calculated volume	18.452	A^3/atom
ΔE_f	-0.021	eV/atom
magnetization	0.000	μB per formula unit

Cell lengths 3.4249, 5.1567, 5.4244 Å; angles 50.39, 90.00, 90.00 degrees
Element x y z (fractional)
1 Ru 0.0000 0.0000 0.0000
2 Ru 0.5000 0.5000 0.0000
3 As 0.5000 0.5000 0.5000
4 La 0.0000 0.0000 0.5000



## BaCrAg2S4 (PBE)

Data for a geometry-optimized BaCrAg2S4 structure.

Summary:
calculated volume	23.753	A^3/atom
E_form (uncorrected)	-0.74	eV/atom
magnetization	2.002	μB per formula unit

Cell lengths 6.7656, 6.3311, 6.3311 Å; angles 81.61, 57.70, 57.70 degrees
Element x y z (fractional)
1 Ba 0.0000 0.0000 0.0000
2 Cr 0.0000 0.5000 0.5000
3 Ag 0.5000 0.7472 0.2528
4 Ag 0.5000 0.2528 0.7472
5 S 0.6259 0.5340 0.8404
6 S 0.3741 0.1596 0.4660
7 S 0.0003 0.4660 0.1596
8 S 0.9997 0.8404 0.5340



## MgScRu (PBE)

Data for a geometry-optimized MgScRu structure.

Summary:
calculated volume	17.729	A^3/atom
ΔE_f	-0.164	eV/atom
magnetization	0.000	μB per formula unit

Cell lengths 4.4724, 4.4724, 3.0703 Å; angles 90.00, 90.00, 120.00 degrees
Element x y z (fractional)
1 Mg 0.0000 0.0000 0.0426
2 Ru 0.6667 0.3333 0.3436
3 Sc 0.3333 0.6667 0.6137



## Na12Tl6Au (PBE)

Data for a geometry-optimized Na12Tl6Au structure.

Summary:
calculated volume	29.391	A^3/atom
ΔE_f	-0.104	eV/atom
magnetization	0.000	μB per formula unit

Cell lengths 8.2364, 8.2364, 8.2364 Å; angles 88.86, 88.86, 88.86 degrees
Element x y z (fractional)
1 Na 0.5696 0.1927 0.4719
2 Na 0.1927 0.4719 0.5696
3 Na 0.4719 0.5696 0.1927
4 Na 0.4304 0.8073 0.5281
5 Na 0.8073 0.5281 0.4304
6 Na 0.5281 0.4304 0.8073
7 Na 0.9695 0.8595 0.6335
8 Na 0.3665 0.0305 0.1405
9 Na 0.1405 0.3665 0.0305
10 Na 0.0305 0.1405 0.3665
11 Na 0.6335 0.9695 0.8595
12 Na 0.8595 0.6335 0.9695
13 Tl 0.2674 0.1133 0.7491
14 Tl 0.8867 0.2509 0.7326
15 Tl 0.2509 0.7326 0.8867
16 Tl 0.7326 0.8867 0.2509
17 Tl 0.1133 0.7491 0.2674
18 Tl 0.7491 0.2674 0.1133
19 Au 0.0000 0.0000 0.0000



## Sm2TiF (PBE)

Data for a geometry-optimized Sm2TiF structure.

Summary:
calculated volume	22.291	A^3/atom
E_form (uncorrected)	-0.71	eV/atom
magnetization	1.833	μB per formula unit

Cell lengths 3.2489, 3.2489, 9.9328 Å; angles 80.59, 80.59, 60.00 degrees
Element x y z (fractional)
1 F 0.5000 0.5000 0.5000
2 Sm 0.1005 0.1005 0.6984
3 Sm 0.8995 0.8995 0.3016
4 Ti 0.0000 0.0000 0.0000